Crystalline ZrAsP2 at its relaxed geometry. Source: the Alexandria database, functional PBE-GGA.

Values from the calculation:
DFT total energy   -6.386 eV per atom
Symmetry   No. 44
Calculated volume   16.5 Å³ per atom
Mass density   5.7 g/cm³

The structure in POSCAR format:
```
ZrAsP2
1.0
-4.3578 2.5494 -0.0069
-2.2915 -0.5182 -4.4688
1.6961 -2.7855 3.8541
Zr P As
1 2 1
Direct
0.5025 0.5025 0.0000
0.9903 0.9903 0.0000
0.7912 0.2912 0.5000
0.2160 0.7160 0.5000
```